Crystalline Hf2HgN at its relaxed geometry, computed with GGA-PBE.

Cell lengths 7.4837, 7.4837, 7.4837 Å; angles 25.29, 25.29, 25.29 degrees
Closest atoms and distances in Å follow each position.
Positions (direct):
Hf: 0.0000 0.0000 0.0000  3 N 2.27
Hf: 0.2216 0.2216 0.2216  3 N 2.22
Hg: 0.7775 0.7775 0.7775  6 Hf 3.06, 6 Hg 3.28
N: 0.6086 0.6086 0.6086  6 Hf 2.22-2.27

Output
E above lowest polymorph (meV per atom): 20
Formation energy without anion corrections (eV/f.u.): -3.866
Electronic total energy (eV/atom): -8.1001
ρ (Mg/m³): 14.094

Crystalline Hf2HgN at its relaxed geometry, computed with GGA-PBE.

Cell lengths 6.5062, 6.5062, 6.5062 Å; angles 127.43, 127.43, 77.55 degrees
Closest atoms and distances in Å follow each position.
Positions (direct):
Hf: 0.0145 0.6250 0.8895  2 N 2.08
Hf: 0.3750 0.2645 0.3895  2 N 2.08
Hf: 0.7355 0.1250 0.1105  2 N 2.08
Hf: 0.8750 0.9855 0.6105  2 N 2.08
Hg: 0.2500 0.7500 0.5000  4 Hf 2.83
Hg: 0.5000 0.5000 0.0000  4 Hf 2.83
N: 0.0000 0.0000 0.0000  4 Hf 2.08
N: 0.7500 0.2500 0.5000  4 Hf 2.08

Output
E above lowest polymorph (meV per atom): 513
Formation energy without anion corrections (eV/f.u.): -1.897
Electronic total energy (eV/atom): -7.6077
ρ (Mg/m³): 11.270

Crystalline Hf3HgN at its relaxed geometry, computed with GGA-PBE.

Cell lengths 3.0682, 7.8643, 7.8643 Å; angles 46.46, 90.00, 90.00 degrees
Closest atoms and distances in Å follow each position.
Positions (direct):
Hf: 0.0000 0.0000 0.0000  1 N 2.36
Hf: 0.5000 0.0898 0.6125  2 N 2.14
Hf: 0.5000 0.6125 0.0898  2 N 2.14
Hg: 0.5000 0.1779 0.1779  4 Hf 2.98-2.99, 2 Hg 3.07
N: 0.0000 0.8368 0.8368  5 Hf 2.14-2.36

Output
Formation energy without anion corrections (eV/f.u.): -0.027
Electronic total energy (eV/atom): -7.7028
ρ (Mg/m³): 9.054

Crystalline Hf3HgN at its relaxed geometry, computed with GGA-PBE.

Cell lengths 3.2523, 5.7062, 5.7062 Å; angles 69.87, 90.00, 90.00 degrees
Closest atoms and distances in Å follow each position.
Positions (direct):
Hf: 0.0000 0.0000 0.0000  2 N 2.09
Hf: 0.5000 0.0102 0.4822  1 N 2.03
Hf: 0.5000 0.4822 0.0102  1 N 2.03
Hg: 0.0000 0.4968 0.4968  10 Hf 3.24-3.33, 2 Hg 3.25
N: 0.5000 0.8605 0.8605  4 Hf 2.03-2.09

Output
Formation energy without anion corrections (eV/f.u.): -2.496
Electronic total energy (eV/atom): -8.1968
ρ (Mg/m³): 12.527

Crystalline Hf3HgN at its relaxed geometry, computed with GGA-PBE.

Cell lengths 8.3585, 8.3585, 6.0183 Å; angles 100.93, 100.93, 85.90 degrees
Closest atoms and distances in Å follow each position.
Positions (direct):
Hf: 0.0926 0.6861 0.8507  1 N 2.08
Hf: 0.1459 0.2959 0.6313  2 N 2.05-2.09
Hf: 0.2057 0.5628 0.3269  1 N 2.04
Hf: 0.2959 0.1459 0.1313  2 N 2.05-2.09
Hf: 0.3139 0.9074 0.6493  1 N 2.08
Hf: 0.4372 0.7943 0.1731  1 N 2.04
Hf: 0.5628 0.2057 0.8269  1 N 2.04
Hf: 0.6861 0.0926 0.3507  1 N 2.08
Hf: 0.7041 0.8541 0.8687  2 N 2.05-2.09
Hf: 0.7943 0.4372 0.6731  1 N 2.04
Hf: 0.8541 0.7041 0.3687  2 N 2.05-2.09
Hf: 0.9074 0.3139 0.1493  1 N 2.08
Hg: 0.0581 0.9419 0.2500  4 Hf 2.94-2.98, 2 Hg 3.29, 2 N 3.29
Hg: 0.4462 0.5538 0.7500  6 Hf 2.94-3.21, 2 Hg 3.25
Hg: 0.5538 0.4462 0.2500  6 Hf 2.94-3.21, 2 Hg 3.25
Hg: 0.9419 0.0581 0.7500  4 Hf 2.94-2.98, 2 Hg 3.29, 2 N 3.29
N: 0.1541 0.3232 0.2956  4 Hf 2.04-2.09
N: 0.3232 0.1541 0.7956  4 Hf 2.04-2.09
N: 0.6768 0.8459 0.2044  4 Hf 2.04-2.09
N: 0.8459 0.6768 0.7044  4 Hf 2.04-2.09

Output
Formation energy without anion corrections (eV/f.u.): -2.310
Electronic total energy (eV/atom): -8.1594
ρ (Mg/m³): 12.299

Crystalline HfHg3N at its relaxed geometry, computed with GGA-PBE.

Cell lengths 4.6950, 4.6950, 4.6950 Å; angles 90.00, 90.00, 90.00 degrees
Closest atoms and distances in Å follow each position.
Positions (direct):
Hf: 0.0000 0.0000 0.0000  12 Hg 3.32
Hg: 0.0000 0.5000 0.5000  2 N 2.35
Hg: 0.5000 0.0000 0.5000  2 N 2.35
Hg: 0.5000 0.5000 0.0000  2 N 2.35
N: 0.5000 0.5000 0.5000  6 Hg 2.35

Output
E above lowest polymorph (meV per atom): 0
Formation energy without anion corrections (eV/f.u.): 5.482
Electronic total energy (eV/atom): -2.7404
ρ (Mg/m³): 12.744

Crystalline Hf3HgN at its relaxed geometry, computed with GGA-PBE.

Cell lengths 8.1768, 8.1768, 6.6398 Å; angles 102.75, 102.75, 87.13 degrees
Closest atoms and distances in Å follow each position.
Positions (direct):
Hf: 0.1308 0.1566 0.8275  1 N 2.03
Hf: 0.1544 0.4766 0.1871  1 N 2.10
Hf: 0.1566 0.1308 0.3275  1 N 2.03
Hf: 0.1849 0.7766 0.9923  2 N 2.09-2.17
Hf: 0.2234 0.8151 0.5077  2 N 2.09-2.17
Hf: 0.4766 0.1544 0.6871  1 N 2.10
Hf: 0.5234 0.8456 0.3129  1 N 2.10
Hf: 0.7766 0.1849 0.4923  2 N 2.09-2.17
Hf: 0.8151 0.2234 0.0077  2 N 2.09-2.17
Hf: 0.8434 0.8692 0.6725  1 N 2.03
Hf: 0.8456 0.5234 0.8129  1 N 2.10
Hf: 0.8692 0.8434 0.1725  1 N 2.03
Hg: 0.1871 0.4591 0.6532  7 Hf 3.04-3.36
Hg: 0.4591 0.1871 0.1532  7 Hf 3.04-3.36
Hg: 0.5409 0.8129 0.8468  7 Hf 3.04-3.36
Hg: 0.8129 0.5409 0.3468  7 Hf 3.04-3.36
N: 0.0960 0.9040 0.7500  4 Hf 2.03-2.09
N: 0.3285 0.6715 0.2500  4 Hf 2.10-2.17
N: 0.6715 0.3285 0.7500  4 Hf 2.10-2.17
N: 0.9040 0.0960 0.2500  4 Hf 2.03-2.09

Output
Formation energy without anion corrections (eV/f.u.): -2.105
Electronic total energy (eV/atom): -8.1184
ρ (Mg/m³): 11.797

Crystalline Hf2HgN at its relaxed geometry, computed with GGA-PBE.

Cell lengths 8.6318, 8.6318, 8.6318 Å; angles 21.45, 21.45, 21.45 degrees
Closest atoms and distances in Å follow each position.
Positions (direct):
Hf: 0.1168 0.1168 0.1168  3 N 2.24
Hf: 0.8832 0.8832 0.8832  3 N 2.24
Hg: 0.0000 0.0000 0.0000  2 Hf 2.95, 6 Hg 3.21
N: 0.5000 0.5000 0.5000  6 Hf 2.24

Output
E above lowest polymorph (meV per atom): 384
Formation energy without anion corrections (eV/f.u.): -2.411
Electronic total energy (eV/atom): -7.7363
ρ (Mg/m³): 12.599